[1]
Below is crystalline TbPm2PaSb4 at its relaxed geometry, with properties calculated at the PBE level.

- E_form (uncorrected) (eV/atom) = -0.994

Lattice parameters (Å, degrees): 4.433 7.672 7.696 109.35 90.00 90.00
Site moments in Bohr magnetons follow the coordinates.
Atoms (fractional coordinates):
Pm (0.500, 0.000, 0.500)  0.01
Pm (0.000, 0.500, 0.500)  0.02
Sb (0.000, 0.250, 0.758)  -0.01
Sb (0.500, 0.247, 0.243)  -0.01
Sb (0.500, 0.753, 0.757)  -0.01
Sb (0.000, 0.750, 0.242)  -0.01
Tb (0.500, 0.500, 0.000)  0.00
Pa (0.000, 0.000, 0.000)  0.68

=====

[2]
Below is crystalline TbPm2PaSb5 at its relaxed geometry, with properties calculated at the PBE level.

- E_form (uncorrected) (eV/atom) = -0.175

Lattice parameters (Å, degrees): 5.471 5.471 11.649 90.00 90.00 90.00
Atoms (fractional coordinates):
Sb (0.000, 0.000, 0.753)
Sb (0.500, 0.500, 0.000)
Sb (0.000, 0.500, 0.500)
Sb (0.000, 0.000, 0.247)
Sb (0.500, 0.000, 0.500)
Pm (0.500, 0.500, 0.274)
Pm (0.500, 0.500, 0.726)
Pa (0.000, 0.000, 0.500)
Tb (0.000, 0.000, 0.000)